A relaxed La2PrGa2Pt7 crystal, computed with GGA-PBE.

Lattice parameters (Å, degrees): 5.9401 5.8717 14.3391 90.00 98.36 90.00
Last column: nearest neighbours and their distance in Å.
Space group C2/m (No. 12)
One atom of each set of equivalent atoms:
La1 0.1103 0.0000 0.3579 [4 per cell]  5 Pt 3.02-3.28, 3 Ga 3.24-3.30
Pr1 0.0000 0.0000 0.0000 [2 per cell]  12 Pt 2.94-3.04
Ga1 0.0889 0.5000 0.2526 [4 per cell]  5 Pt 2.47-2.50
Pt1 0.0000 0.5000 0.0000 [2 per cell]  4 Pr 2.94-2.97, 8 Pt 3.04
Pt2 0.1158 0.5000 0.4263 [4 per cell]  1 Ga 2.47, 1 Pt 2.68
Pt3 0.1950 0.2502 0.8444 [8 per cell]  2 Ga 2.50

M_tot (μB/cell): 0.00
Energy of formation from the pure elements (eV/atom): -0.962